Record 1
# K3Tb3RuO8 (PBE-GGA, relaxed)
# Total magnetic moment in μB/f.u.: 2.0
# Formation energy without anion corrections in eV/atom: -2.365
data_K3Tb3RuO8
_space_group_name_H-M_alt 'R -3 m'
_space_group_IT_number 166
_space_group_name_Hall '-R 3 2"'
_cell_length_a 6.7974
_cell_length_b 6.7974
_cell_length_c 18.8373
_cell_angle_alpha 90.00
_cell_angle_beta 90.00
_cell_angle_gamma 120.00
loop_
_atom_site_label
_atom_site_fract_x
_atom_site_fract_y
_atom_site_fract_z
K1 0.0000 0.5000 0.0000
Tb1 0.0000 0.5000 0.5000
Ru1 0.0000 0.0000 0.5000
O1 0.0000 0.0000 0.2283
O2 0.0281 0.5141 0.2247

Record 2
# Sr2Li2IO6 (PBE-GGA, relaxed)
# Total magnetic moment in μB/f.u.: 0.6
# Formation energy without anion corrections in eV/atom: -1.699
data_Sr2Li2IO6
_space_group_name_H-M_alt 'C 1 2/m 1'
_space_group_IT_number 12
_space_group_name_Hall '-C 2y'
_cell_length_a 6.161
_cell_length_b 10.765
_cell_length_c 5.321
_cell_angle_alpha 90.00
_cell_angle_beta 102.25
_cell_angle_gamma 90.00
loop_
_atom_site_label
_atom_site_fract_x
_atom_site_fract_y
_atom_site_fract_z
Sr1 0.000 0.164 0.000
Li1 0.000 0.387 0.500
I1 0.000 0.500 0.000
O1 0.169 0.361 0.218
O2 0.217 0.500 0.766

Record 3
# Ca2Ac3Au4 (PBE-GGA, relaxed)
# Total magnetic moment in μB/f.u.: 0.0
# Energy of formation from the pure elements in meV/atom: -696
data_Ca2Ac3Au4
_space_group_name_H-M_alt 'C 1 2/c 1'
_space_group_IT_number 15
_space_group_name_Hall '-C 2yc'
_cell_length_a 15.707
_cell_length_b 11.287
_cell_length_c 6.395
_cell_angle_alpha 90.00
_cell_angle_beta 90.06
_cell_angle_gamma 90.00
loop_
_atom_site_label
_atom_site_fract_x
_atom_site_fract_y
_atom_site_fract_z
Ca1 0.206 0.117 0.361
Ac1 0.000 0.105 0.750
Ac2 0.102 0.382 0.057
Au1 0.098 0.329 0.553
Au2 0.196 0.156 0.861

Record 4
# Tl7In3Hg (PBE-GGA, relaxed)
# Total magnetic moment in μB/f.u.: 0.0
# Polymorph energy (0 for the lowest one) in meV/atom: 77
# Energy of formation from the pure elements in meV/atom: 143
data_Tl7In3Hg
_space_group_name_H-M_alt 'C 1 2/m 1'
_space_group_IT_number 12
_space_group_name_Hall '-C 2y'
_cell_length_a 10.542
_cell_length_b 10.753
_cell_length_c 8.434
_cell_angle_alpha 90.00
_cell_angle_beta 125.07
_cell_angle_gamma 90.00
loop_
_atom_site_label
_atom_site_fract_x
_atom_site_fract_y
_atom_site_fract_z
Tl1 0.000 0.000 0.000
Tl2 0.135 0.253 0.748
Tl3 0.154 0.500 0.291
In1 0.000 0.283 0.000
In2 0.000 0.500 0.500
Hg1 0.000 0.000 0.500

Record 5
# CoSn2I (PBE-GGA, relaxed)
# Total magnetic moment in μB/f.u.: 0.0
# Polymorph energy (0 for the lowest one) in meV/atom: 0
# Formation energy without anion corrections in eV/atom: 0.254
data_CoSn2I
_space_group_name_H-M_alt 'I -4 2 d'
_space_group_IT_number 122
_space_group_name_Hall 'I -4 2bw'
_cell_length_a 6.500
_cell_length_b 6.500
_cell_length_c 12.596
_cell_angle_alpha 90.00
_cell_angle_beta 90.00
_cell_angle_gamma 90.00
loop_
_atom_site_label
_atom_site_fract_x
_atom_site_fract_y
_atom_site_fract_z
Co1 0.000 0.000 0.000
Sn1 0.129 0.250 0.125
I1 0.000 0.000 0.500

Record 6
# Dy8Y3Tm2 (PBE-GGA, relaxed)
# Total magnetic moment in μB/f.u.: 0.0
# Energy of formation from the pure elements in meV/atom: 234
data_Dy8Y3Tm2
_space_group_name_H-M_alt 'C m m m'
_space_group_IT_number 65
_space_group_name_Hall '-C 2 2'
_cell_length_a 7.627
_cell_length_b 20.034
_cell_length_c 5.609
_cell_angle_alpha 90.00
_cell_angle_beta 90.00
_cell_angle_gamma 90.00
loop_
_atom_site_label
_atom_site_fract_x
_atom_site_fract_y
_atom_site_fract_z
Dy1 0.000 0.134 0.000
Dy2 0.000 0.331 0.000
Dy3 0.210 0.391 0.500
Y1 0.000 0.000 0.500
Y2 0.215 0.500 0.000
Tm1 0.000 0.241 0.500

Record 7
# HfZnNiPd (PBE-GGA, relaxed)
# Total magnetic moment in μB/f.u.: 0.0
# Polymorph energy (0 for the lowest one) in meV/atom: 0
# Energy of formation from the pure elements in meV/atom: -518
data_HfZnNiPd
_space_group_name_H-M_alt 'I -4 m 2'
_space_group_IT_number 119
_space_group_name_Hall 'I -4 -2'
_cell_length_a 4.022
_cell_length_b 4.022
_cell_length_c 7.491
_cell_angle_alpha 90.00
_cell_angle_beta 90.00
_cell_angle_gamma 90.00
loop_
_atom_site_label
_atom_site_fract_x
_atom_site_fract_y
_atom_site_fract_z
Hf1 0.000 0.000 0.000
Zn1 0.000 0.000 0.500
Ni1 0.000 0.500 0.750
Pd1 0.000 0.500 0.250

Record 8
# Nd2ZnGe4Pd3 (PBE-GGA, relaxed)
# Total magnetic moment in μB/f.u.: 0.0
# Energy of formation from the pure elements in meV/atom: -745
data_Nd2ZnGe4Pd3
_space_group_name_H-M_alt 'P -4 m 2'
_space_group_IT_number 115
_space_group_name_Hall 'P -4 -2'
_cell_length_a 4.308
_cell_length_b 4.308
_cell_length_c 10.436
_cell_angle_alpha 90.00
_cell_angle_beta 90.00
_cell_angle_gamma 90.00
loop_
_atom_site_label
_atom_site_fract_x
_atom_site_fract_y
_atom_site_fract_z
Nd1 0.000 0.500 0.249
Zn1 0.000 0.000 0.500
Ge1 0.000 0.000 0.000
Ge2 0.000 0.500 0.636
Ge3 0.500 0.500 0.000
Pd1 0.000 0.500 0.873
Pd2 0.500 0.500 0.500